1.
# PBE-GGA NaAs12Os4, optimized geometry
data_NaAs12Os4
_chemical_formula_sum 'Na2 As24 Os8'
_space_group_name_H-M_alt 'I m -3'
_space_group_IT_number 204
_space_group_name_Hall '-I 2 2 3'
_cell_length_a 8.634
_cell_length_b 8.634
_cell_length_c 8.634
_cell_angle_alpha 90.00
_cell_angle_beta 90.00
_cell_angle_gamma 90.00
loop_
_atom_site_label
_atom_site_type_symbol
_atom_site_fract_x
_atom_site_fract_y
_atom_site_fract_z
Na1 Na 0.000 0.000 0.000
As1 As 0.000 0.349 0.148
Os1 Os 0.250 0.250 0.250
# density of states at the Fermi level	36.5	states/eV/cell
# formation energy from the elements	-0.16	eV/atom

2.
# PBE-GGA NaAs2Os2, optimized geometry
data_NaAs2Os2
_chemical_formula_sum 'Na2 As4 Os4'
_space_group_name_H-M_alt 'I 4/m m m'
_space_group_IT_number 139
_space_group_name_Hall '-I 4 2'
_cell_length_a 4.377
_cell_length_b 4.377
_cell_length_c 9.752
_cell_angle_alpha 90.00
_cell_angle_beta 90.00
_cell_angle_gamma 90.00
loop_
_atom_site_label
_atom_site_type_symbol
_atom_site_fract_x
_atom_site_fract_y
_atom_site_fract_z
Na1 Na 0.000 0.000 0.000
As1 As 0.000 0.500 0.250
Os1 Os 0.000 0.000 0.376
# density of states at the Fermi level	3.8	states/eV/cell
# formation energy from the elements	0.23	eV/atom

3.
# PBE-GGA NaAs3Os, optimized geometry
data_NaAs3Os
_chemical_formula_sum 'Na1 As3 Os1'
_space_group_name_H-M_alt 'P m -3 m'
_space_group_IT_number 221
_space_group_name_Hall '-P 4 2 3'
_cell_length_a 4.768
_cell_length_b 4.768
_cell_length_c 4.768
_cell_angle_alpha 90.00
_cell_angle_beta 90.00
_cell_angle_gamma 90.00
loop_
_atom_site_label
_atom_site_type_symbol
_atom_site_fract_x
_atom_site_fract_y
_atom_site_fract_z
Na1 Na 0.000 0.000 0.000
As1 As 0.000 0.000 0.500
Os1 Os 0.500 0.500 0.500
# density of states at the Fermi level	7.7	states/eV/cell
# formation energy from the elements	1.92	eV/atom

4.
# PBE-GGA NaAsOs, optimized geometry
data_NaAsOs
_chemical_formula_sum 'Na4 As4 Os4'
_space_group_name_H-M_alt 'C 1 2/m 1'
_space_group_IT_number 12
_cell_length_a 9.199
_cell_length_b 4.013
_cell_length_c 7.017
_cell_angle_alpha 90.00
_cell_angle_beta 96.37
_cell_angle_gamma 90.00
loop_
_space_group_symop_operation_xyz
'x,y,z'
'-x,-y,-z'
'-x,y,-z'
'x,-y,z'
'x+1/2,y+1/2,z'
'-x+1/2,-y+1/2,-z'
'-x+1/2,y+1/2,-z'
'x+1/2,-y+1/2,z'
loop_
_atom_site_label
_atom_site_type_symbol
_atom_site_fract_x
_atom_site_fract_y
_atom_site_fract_z
Na1 Na 0.130 0.000 0.336
As1 As 0.167 0.000 0.777
Os1 Os 0.126 0.500 0.969
# density of states at the Fermi level	7.7	states/eV/cell
# formation energy from the elements	0.00	eV/atom